Entry from Alexandria via LeMat-Bulk: DySc3Hg2 after structural relaxation (PBE).

```
12
Lattice="4.8764 0.0000 0.0000 0.0000 6.7661 0.0000 0.0000 0.0000 8.7189" Properties=species:S:1:pos:R:3 pbc="T T T"
Dy 2.4382 3.4767 4.8006
Dy 2.4382 0.0936 3.9183
Hg 2.4382 1.6717 1.2945
Hg 2.4382 5.0547 7.4243
Hg 0.0000 1.7171 5.7014
Hg 0.0000 5.1001 3.0174
Sc 2.4382 1.1882 7.2433
Sc 0.0000 3.2798 8.2830
Sc 0.0000 6.6628 0.4359
Sc 2.4382 4.5712 1.4756
Sc 0.0000 5.5820 5.9550
Sc 0.0000 2.1989 2.7639
```

Properties
For the formation energy, the calculation gives -0.35 eV/atom. Its electronic total energy is -52.56 eV for the cell shown. The space group is Pmc2_1. The calculation puts the density at 8065 kg/m3.

=====

Entry from Alexandria via LeMat-Bulk: EuMnSi2 after structural relaxation (PBE).

```
4
Lattice="-1.1846 -2.8925 2.5179 -2.2950 -3.0090 -1.3374 3.2716 -4.8181 -0.7967" Properties=species:S:1:pos:R:3 pbc="T T T"
Eu -0.1040 -5.3598 0.1919
Si -0.5830 -2.3383 0.2386
Si 0.3750 -8.3813 0.1453
Mn 0.0000 0.0000 0.0000
```

Properties
The calculation puts the formation energy (no corrections) at -0.3595 eV per atom. Its electronic total energy is -31.73 eV for the cell shown. The space group is R-3m. The calculation puts the density at 5796 kg/m3.

=====

Entry from Alexandria via LeMat-Bulk: Ho2TlHg4 after structural relaxation (PBE).

```
7
Lattice="5.0059 0.0000 1.5640 2.2586 4.4674 1.5640 0.2333 0.1435 8.0466" Properties=species:S:1:pos:R:3 pbc="T T T"
Ho 5.4331 3.3411 8.9900
Ho 2.0648 1.2698 2.1845
Tl 0.0000 0.0000 0.0000
Hg 6.3375 3.8973 6.0951
Hg 1.1603 0.7136 5.0794
Hg 3.2463 1.9963 7.1962
Hg 4.2516 2.6146 3.9782
```

Properties
For the formation energy, the calculation gives -0.26 eV/atom. Its electronic total energy is -14.56 eV for the cell shown. The space group is R-3m. The energy above the most stable polymorph in this dataset is 0.00 eV per formula unit. The calculation puts the density at 12490 kg/m3.

=====

Entry from Alexandria via LeMat-Bulk: Al3IrBr after structural relaxation (PBE).

```
5
Lattice="4.8362 0.0000 0.0000 0.0000 4.8362 0.0000 0.0000 0.0000 4.8362" Properties=species:S:1:pos:R:3 pbc="T T T"
Al 0.0000 2.4181 0.0000
Al 0.0000 0.0000 2.4181
Al 2.4181 0.0000 0.0000
Br 2.4181 2.4181 2.4181
Ir 0.0000 0.0000 0.0000
```

Properties
The calculation puts the formation energy (no corrections) at -0.4115 eV per atom. Its electronic total energy is -23.82 eV for the cell shown. The space group is Pm-3m. The energy above the most stable polymorph in this dataset is 0.00 eV per formula unit. The calculation puts the density at 5183 kg/m3.

=====

Entry from Alexandria via LeMat-Bulk: LiCaPm2O4 after structural relaxation (PBE).

```
8
Lattice="3.4743 0.0000 0.0000 0.0000 5.9528 0.1137 0.0000 -2.0742 5.5386" Properties=species:S:1:pos:R:3 pbc="T T T"
O 0.0000 -0.0718 4.1981
O 1.7372 0.9899 1.4423
O 1.7372 2.8887 4.2100
O 0.0000 3.9504 1.4541
Li 0.0000 0.0000 0.0000
Pm 0.0000 1.9393 2.8261
Pm 1.7372 -1.0371 2.7693
Ca 1.7372 2.9764 0.0568
```

Properties
The calculation puts the formation energy (no corrections) at -2.7182 eV per atom. Its electronic total energy is -54.99 eV for the cell shown. The space group is P2/m. The calculation puts the density at 5772 kg/m3.

=====

Entry from Alexandria via LeMat-Bulk: KMgCo after structural relaxation (PBE).

```
3
Lattice="5.3253 0.0000 0.0000 2.6627 4.6119 0.0000 2.6627 1.5373 4.3481" Properties=species:S:1:pos:R:3 pbc="T T T"
Co 5.3253 3.0746 2.1741
Mg 0.0000 0.0000 0.0000
K 7.9880 4.6119 3.2611
```

Properties
For the formation energy, the calculation gives 1.46 eV/atom. Its electronic total energy is -5.41 eV for the cell shown. The space group is F-43m. The energy above the most stable polymorph in this dataset is 2.56 eV per formula unit. The calculation puts the density at 1902 kg/m3.

=====

Entry from Alexandria via LeMat-Bulk: La2Dy8Sc after structural relaxation (PBE).

```
11
Lattice="5.6519 -0.4395 -0.3070 0.5379 9.6218 2.4885 0.5379 5.6477 8.1776" Properties=species:S:1:pos:R:3 pbc="T T T"
La 2.2333 10.8515 7.5800
La 4.4945 3.9785 2.7791
Sc 0.0000 0.0000 0.0000
Dy 4.8229 6.5998 4.6101
Dy 1.8764 6.5663 2.5882
Dy 5.2237 12.2206 8.5364
Dy 1.5040 2.6094 1.8227
Dy 1.9048 8.2301 5.7490
Dy 4.8514 10.1402 5.0846
Dy 1.8764 4.6898 5.2745
Dy 4.8514 8.2637 7.7709
```

Properties
For the formation energy, the calculation gives 0.20 eV/atom. Its electronic total energy is -50.79 eV for the cell shown. The space group is C2/m. The calculation puts the density at 7337 kg/m3.

=====

Entry from Alexandria via LeMat-Bulk: PtWS3 after structural relaxation (PBE).

```
5
Lattice="4.6358 0.0000 0.0000 0.0000 4.6358 0.0000 0.0000 0.0000 4.6358" Properties=species:S:1:pos:R:3 pbc="T T T"
Pt 0.0000 0.0000 0.0000
S 0.0000 2.3179 0.0000
S 0.0000 0.0000 2.3179
S 2.3179 0.0000 0.0000
W 2.3179 2.3179 2.3179
```

Properties
The calculation puts the formation energy (no corrections) at 1.2114 eV per atom. Its electronic total energy is -25.32 eV for the cell shown. The space group is Pm-3m. The energy above the most stable polymorph in this dataset is 2.82 eV per formula unit. The calculation puts the density at 7919 kg/m3.

=====

Entry from Alexandria via LeMat-Bulk: ScTaP2S after structural relaxation (PBE).

```
5
Lattice="4.7964 0.0000 0.0000 0.0000 4.7964 0.0000 0.0000 0.0000 4.6256" Properties=species:S:1:pos:R:3 pbc="T T T"
Sc 0.0000 0.0000 0.0000
S 0.0000 0.0000 2.3128
P 2.3982 0.0000 0.0000
P 0.0000 2.3982 0.0000
Ta 2.3982 2.3982 2.3128
```

Properties
The calculation puts the formation energy (no corrections) at 0.7305 eV per atom. Its electronic total energy is -29.48 eV for the cell shown. The space group is P4/mmm. The energy above the most stable polymorph in this dataset is 4.71 eV per formula unit. The calculation puts the density at 4992 kg/m3.

=====

Entry from Alexandria via LeMat-Bulk: AcAlGa2Pd4 after structural relaxation (PBE).

```
8
Lattice="4.3646 0.0000 0.0000 2.1823 3.7799 0.0000 2.1823 1.2600 9.0264" Properties=species:S:1:pos:R:3 pbc="T T T"
Ga 6.5469 3.7799 6.4356
Ga 2.1823 1.2600 2.5908
Pd 4.3646 2.5199 1.9961
Pd 4.3646 2.5199 7.0303
Pd 6.5469 3.7799 3.7077
Pd 2.1823 1.2600 5.3187
Ac 0.0000 0.0000 0.0000
Al 4.3646 2.5199 4.5132
```

Properties
For the formation energy, the calculation gives -0.77 eV/atom. Its electronic total energy is -40.85 eV for the cell shown. The space group is R-3m. The calculation puts the density at 9134 kg/m3.

=====

Entry from Alexandria via LeMat-Bulk: Ac2PrRe2N6 after structural relaxation (PBE).

```
11
Lattice="-5.9306 -0.4270 -0.1049 -2.5911 -5.3424 -0.3321 -2.9270 -2.2739 6.1716" Properties=species:S:1:pos:R:3 pbc="T T T"
Pr 0.0000 0.0000 0.0000
Ac -2.8721 -2.0510 2.1569
Ac -8.5766 -5.9924 3.5777
N -4.3050 -3.1214 4.2517
N -7.3058 -3.3375 4.1987
N -5.8326 -2.2188 1.6509
N -7.1437 -4.9220 1.4828
N -5.6160 -5.8246 4.0837
N -4.1429 -4.7059 1.5359
Re -5.7492 -4.1224 4.6808
Re -5.6995 -3.9210 1.0538
```

Properties
The calculation puts the formation energy (no corrections) at -0.7434 eV per atom. Its electronic total energy is -96.02 eV for the cell shown. The space group is R-3m. The calculation puts the density at 9009 kg/m3.

=====

Entry from Alexandria via LeMat-Bulk: TaSi2P2 after structural relaxation (PBE).

```
10
Lattice="6.7805 0.0000 0.0000 0.0000 6.7805 0.0000 0.0000 0.0000 3.2977" Properties=species:S:1:pos:R:3 pbc="T T T"
P 4.8370 5.3337 1.6488
P 1.9435 1.4467 1.6488
P 5.3337 1.9435 1.6488
P 1.4467 4.8370 1.6488
Si 5.9623 4.2084 0.0000
Si 4.2084 0.8182 0.0000
Si 0.8182 2.5720 0.0000
Si 2.5720 5.9623 0.0000
Ta 3.3902 3.3902 0.0000
Ta 0.0000 0.0000 0.0000
```

Properties
The calculation puts the formation energy (no corrections) at 0.1184 eV per atom. Its electronic total energy is -65.85 eV for the cell shown. The space group is P4/mbm. The energy above the most stable polymorph in this dataset is 0.00 eV per formula unit. The calculation puts the density at 6551 kg/m3.